No. 1
# LaTlCo2

A relaxed LaTlCo2 crystal (PBE-GGA, the Alexandria database).

For the formation energy, the calculation gives -0.019 eV/atom. The crystal system is trigonal. The value obtained for the energy above the lowest structure with this stoichiometry is 0 meV/atom. The calculated total energy is -5.395 eV/atom.

The space group is R3m (No. 160, hexagonal axes) and the conventional cell measures 4.0535, 4.0535 and 18.2077 Å, with angles of 90.00, 90.00 and 120.00 degrees. The asymmetric unit holds La at (0.0000, 0.0000, 0.0000), Tl at (0.0000, 0.0000, 0.8068), Co at (0.0000, 0.0000, 0.2289) and Co at (0.0000, 0.0000, 0.5599).



No. 2
# Ce2Nd2Tl5

A relaxed Ce2Nd2Tl5 crystal (PBE-GGA, the Alexandria database).

For the formation energy, the calculation gives -0.130 eV/atom. The crystal system is monoclinic. The calculated total energy is -3.823 eV/atom.

The space group is Cc (No. 9) and the conventional cell measures 16.135, 9.615 and 7.539 Å, with angles of 90.00, 104.98 and 90.00 degrees. The asymmetric unit holds Ce at (0.000, 0.215, 0.000), Ce at (0.232, 0.221, 0.139), Nd at (0.090, 0.276, 0.570), Nd at (0.328, 0.283, 0.721), Tl at (0.119, 0.005, 0.328), Tl at (0.205, 0.494, 0.384), Tl at (0.333, 0.014, 0.449), Tl at (0.412, 0.428, 0.111) and Tl at (0.492, 0.010, 0.766).



No. 3
# Al3Sb

A relaxed Al3Sb crystal (PBE-GGA, the Alexandria database).

The crystal system is orthorhombic. The formation energy without anion corrections comes out at 188 meV/atom. The calculated total energy is -3.650 eV/atom.

The space group is Pmm2 (No. 25) and the conventional cell measures 3.076, 4.712 and 5.585 Å, with angles of 90.00, 90.00 and 90.00 degrees. The asymmetric unit holds Al at (0.000, 0.000, 0.000), Al at (0.000, 0.500, 0.288), Al at (0.500, 0.000, 0.431) and Sb at (0.500, 0.500, 0.769).



No. 4
# K2SiAg

A relaxed K2SiAg crystal (PBE-GGA, the Alexandria database).

The crystal system is tetragonal. The formation energy without anion corrections comes out at 183 meV/atom. The calculated total energy is -2.434 eV/atom.

The space group is I-42d (No. 122) and the conventional cell measures 12.915, 12.915 and 4.699 Å, with angles of 90.00, 90.00 and 90.00 degrees. The asymmetric unit holds K at (0.016, 0.250, 0.125), Si at (0.000, 0.000, 0.500) and Ag at (0.000, 0.000, 0.000).



No. 5
# Tc2PbSe

A relaxed Tc2PbSe crystal (PBE-GGA, the Alexandria database).

The crystal system is cubic. The formation energy without anion corrections comes out at 870 meV/atom. The value obtained for the energy above the lowest structure with this stoichiometry is 717 meV/atom. The calculated total energy is -6.111 eV/atom.

The space group is F-43m (No. 216) and the conventional cell measures 6.644, 6.644 and 6.644 Å, with angles of 90.00, 90.00 and 90.00 degrees. The asymmetric unit holds Tc at (0.000, 0.000, 0.000), Tc at (0.250, 0.250, 0.250), Pb at (0.250, 0.250, 0.750) and Se at (0.000, 0.000, 0.500).



No. 6
# H2RuPtN

A relaxed H2RuPtN crystal (PBE-GGA, the Alexandria database).

The crystal system is tetragonal. The calculated total energy is -5.374 eV/atom.

The space group is P4/mmm (No. 123) and the conventional cell measures 3.439, 3.439 and 3.910 Å, with angles of 90.00, 90.00 and 90.00 degrees. The asymmetric unit holds H at (0.000, 0.500, 0.000), Ru at (0.000, 0.000, 0.000), Pt at (0.500, 0.500, 0.500) and N at (0.000, 0.000, 0.500).



No. 7
# Ho2AlSi4Ir3

A relaxed Ho2AlSi4Ir3 crystal (PBE-GGA, the Alexandria database).

The crystal system is tetragonal. The formation energy without anion corrections comes out at -918 meV/atom. The calculated total energy is -7.035 eV/atom.

The space group is P-4m2 (No. 115) and the conventional cell measures 4.053, 4.053 and 10.320 Å, with angles of 90.00, 90.00 and 90.00 degrees. The asymmetric unit holds Ho at (0.000, 0.500, 0.245), Al at (0.000, 0.000, 0.500), Si at (0.000, 0.000, 0.000), Si at (0.000, 0.500, 0.645), Si at (0.500, 0.500, 0.000), Ir at (0.000, 0.500, 0.874) and Ir at (0.500, 0.500, 0.500).



No. 8
# NiOs2

A relaxed NiOs2 crystal (PBE-GGA, the Alexandria database).

For the formation energy, the calculation gives 0.133 eV/atom. The crystal system is trigonal. The value obtained for the energy above the lowest structure with this stoichiometry is 94 meV/atom. The calculated total energy is -9.280 eV/atom.

The space group is R3m (No. 160, hexagonal axes) and the conventional cell measures 2.7131, 2.7131 and 19.0412 Å, with angles of 90.00, 90.00 and 120.00 degrees. The asymmetric unit holds Ni at (0.0000, 0.0000, 0.0000), Os at (0.0000, 0.0000, 0.5582) and Os at (0.0000, 0.0000, 0.7800).



No. 9
# CrSi2Ru

A relaxed CrSi2Ru crystal (PBE-GGA, the Alexandria database).

The crystal system is monoclinic. The formation energy without anion corrections comes out at -360 meV/atom. The calculated total energy is -7.796 eV/atom.

The space group is Cm (No. 8) and the conventional cell measures 8.703, 2.841 and 4.266 Å, with angles of 90.00, 107.15 and 90.00 degrees. The asymmetric unit holds Cr at (0.000, 0.000, 0.000), Si at (0.004, 0.500, 0.518), Si at (0.254, 0.000, 0.868) and Ru at (0.258, 0.500, 0.376).



No. 10
# PrNd2ErTm

A relaxed PrNd2ErTm crystal (PBE-GGA, the Alexandria database).

For the formation energy, the calculation gives 0.283 eV/atom. The crystal system is monoclinic. The calculated total energy is -4.387 eV/atom.

The space group is P2/c (No. 13) and the conventional cell measures 8.965, 6.382 and 6.374 Å, with angles of 90.00, 105.59 and 90.00 degrees. The asymmetric unit holds Pr at (0.000, 0.000, 0.000), Nd at (0.318, 0.314, 0.171), Er at (0.500, 0.167, 0.750) and Tm at (0.000, 0.475, 0.750).



No. 11
# Pa4Sb3Se

A relaxed Pa4Sb3Se crystal (PBE-GGA, the Alexandria database).

The crystal system is trigonal. The formation energy without anion corrections comes out at -547 meV/atom. The calculated total energy is -7.276 eV/atom.

The space group is P-3m1 (No. 164) and the conventional cell measures 4.0234, 4.0234 and 15.7538 Å, with angles of 90.00, 90.00 and 120.00 degrees. The asymmetric unit holds Pa at (0.3333, 0.6667, 0.3710), Pa at (0.3333, 0.6667, 0.8885), Sb at (0.0000, 0.0000, 0.2417), Sb at (0.0000, 0.0000, 0.5000) and Se at (0.0000, 0.0000, 0.0000).



No. 12
# CuAsPd

A relaxed CuAsPd crystal (PBE-GGA, the Alexandria database).

For the formation energy, the calculation gives -0.142 eV/atom. The crystal system is tetragonal. The calculated total energy is -4.788 eV/atom.

The space group is I4mm (No. 107) and the conventional cell measures 3.367, 3.367 and 7.928 Å, with angles of 90.00, 90.00 and 90.00 degrees. The asymmetric unit holds Cu at (0.000, 0.000, 0.000), As at (0.000, 0.000, 0.675) and Pd at (0.000, 0.000, 0.336).